Entry from Alexandria via LeMat-Bulk: a geometry-optimized P2IrRu structure (PBE-GGA).

- N(E_F) (states/eV/atom) = 0.99
- space-group type = No. 216
- energy of formation (eV/atom) = 0.558
- distance to the lowest polymorph of the same formula (kJ/mol of formula units) = 394
- magnetization (Bohr magnetons per cell) = 0.00
- total energy (eV per atom) = -6.681

Cell: 4.3152 4.3152 4.3152 Å, 60.00 60.00 60.00°
Closest atoms and distances in Å follow each position.
Positions (direct):
P  0.0000  0.0000  0.0000  4 Ru 2.64, 4 P 2.64
P  0.2500  0.2500  0.2500  4 Ir 2.64, 4 P 2.64
Ir  0.5000  0.5000  0.5000  4 Ru 2.64, 4 P 2.64
Ru  0.7500  0.7500  0.7500  4 Ir 2.64, 4 P 2.64